# Cs3AsS4 (PBE, relaxed)
# DOS(E_F): 0.00 states/eV/atom
# calculated volume: 41.4 A^3/atom
# energy relative to the lowest polymorph listed for this composition: 0.0651 eV/atom
# E_form (uncorrected): -0.841 eV/atom
data_Cs3AsS4
_chemical_formula_sum 'Cs6 As2 S8'
_cell_length_a 10.8977
_cell_length_b 7.6642
_cell_length_c 7.9310
_cell_angle_alpha 90.00
_cell_angle_beta 90.00
_cell_angle_gamma 90.00
_symmetry_space_group_name_H-M 'P m n 21'
_symmetry_Int_Tables_number 31
loop_
_symmetry_equiv_pos_as_xyz
'x,y,z'
'-x+1/2,-y,z+1/2'
'-x,y,z'
'x+1/2,-y,z+1/2'
loop_
_atom_site_label
_atom_site_fract_x
_atom_site_fract_y
_atom_site_fract_z
Cs1 0.0000 0.0346 0.0000
Cs2 0.2259 0.3646 0.4454
As1 0.0000 0.8330 0.4811
S1 0.0000 0.0996 0.5778
S2 0.0000 0.6415 0.6893
S3 0.1672 0.8019 0.3281

---

# Cs4AsS5 (PBE, relaxed)
# DOS(E_F): 0.07 states/eV/atom
# calculated volume: 39.3 A^3/atom
# E_form (uncorrected): -0.649 eV/atom
data_Cs4AsS5
_chemical_formula_sum 'Cs8 As2 S10'
_cell_length_a 10.5794
_cell_length_b 10.5794
_cell_length_c 7.0207
_cell_angle_alpha 90.00
_cell_angle_beta 90.00
_cell_angle_gamma 90.00
_symmetry_space_group_name_H-M 'I 4'
_symmetry_Int_Tables_number 79
loop_
_symmetry_equiv_pos_as_xyz
'x,y,z'
'-y,x,z'
'-x,-y,z'
'y,-x,z'
'x+1/2,y+1/2,z+1/2'
'-y+1/2,x+1/2,z+1/2'
'-x+1/2,-y+1/2,z+1/2'
'y+1/2,-x+1/2,z+1/2'
loop_
_atom_site_label
_atom_site_fract_x
_atom_site_fract_y
_atom_site_fract_z
Cs1 0.0955 0.7062 0.0000
As1 0.0000 0.0000 0.5713
S1 0.0000 0.0000 0.8854
S2 0.0664 0.7947 0.4931

---

# CsAsS3 (PBE, relaxed)
# DOS(E_F): 1.34 states/eV/atom
# calculated volume: 24.9 A^3/atom
# E_form (uncorrected): -0.075 eV/atom
data_CsAsS3
_chemical_formula_sum 'Cs1 As1 S3'
_cell_length_a 4.9963
_cell_length_b 4.9963
_cell_length_c 4.9963
_cell_angle_alpha 90.00
_cell_angle_beta 90.00
_cell_angle_gamma 90.00
_symmetry_space_group_name_H-M 'P m -3 m'
_symmetry_Int_Tables_number 221
_symmetry_space_group_name_Hall '-P 4 2 3'
loop_
_atom_site_label
_atom_site_fract_x
_atom_site_fract_y
_atom_site_fract_z
Cs1 0.0000 0.0000 0.0000
As1 0.5000 0.5000 0.5000
S1 0.0000 0.5000 0.5000

---

# CsAsS2 (PBE, relaxed)
# DOS(E_F): 0.00 states/eV/atom
# calculated volume: 35.0 A^3/atom
# E_form (uncorrected): -0.674 eV/atom
data_CsAsS2
_chemical_formula_sum 'Cs2 As2 S4'
_cell_length_a 5.3574
_cell_length_b 5.5091
_cell_length_c 9.5724
_cell_angle_alpha 82.30
_cell_angle_beta 89.71
_cell_angle_gamma 89.79
_symmetry_space_group_name_H-M 'P 1'
_symmetry_Int_Tables_number 1
loop_
_symmetry_equiv_pos_as_xyz
'x,y,z'
loop_
_atom_site_label
_atom_site_fract_x
_atom_site_fract_y
_atom_site_fract_z
Cs1 0.0000 0.0000 0.0000
Cs2 0.4969 0.4055 0.3789
As1 0.4645 0.5084 0.7769
As2 0.9629 0.8913 0.6022
S1 0.0041 0.8952 0.3740
S2 0.3810 0.9149 0.6875
S3 0.5069 0.5113 0.0042
S4 0.8820 0.4834 0.6884